(1)
The following is a DFT calculation (PBE) of a relaxed structure of Rb3Pm2CdO6.

Unit cell a=6.2259 b=6.2259 c=6.9009 alpha=98.65 beta=98.65 gamma=119.94
Element x y z (fractional)
Rb (0.0000, 0.0000, 0.0000)
Rb (0.3381, 0.6619, 0.0000)
Rb (0.6619, 0.3381, 0.0000)
Pm (0.1669, 0.8331, 0.5000)
Pm (0.8331, 0.1669, 0.5000)
Cd (0.5000, 0.5000, 0.5000)
O (0.1003, 0.4383, 0.3145)
O (0.2230, 0.2230, 0.6855)
O (0.4383, 0.1003, 0.3145)
O (0.5617, 0.8997, 0.6855)
O (0.7770, 0.7770, 0.3145)
O (0.8997, 0.5617, 0.6855)

Calculated values
calculated volume	18.42	A^3/atom
DFT total energy	-5.575	eV/atom

=====

(2)
The following is a DFT calculation (PBE) of a relaxed structure of RbPm2CdO5.

Unit cell a=7.9142 b=7.9142 c=7.9142 alpha=128.84 beta=128.84 gamma=75.27
Element x y z (fractional)
Rb (0.2500, 0.2500, 0.0000)
Rb (0.7500, 0.7500, 0.0000)
Pm (0.1711, 0.6711, 0.8422)
Pm (0.3289, 0.1711, 0.5000)
Pm (0.6711, 0.8289, 0.5000)
Pm (0.8289, 0.3289, 0.1578)
Cd (0.2500, 0.7500, 0.5000)
Cd (0.7500, 0.2500, 0.5000)
O (0.0000, 0.0000, 0.0000)
O (0.0280, 0.2429, 0.5000)
O (0.2429, 0.7429, 0.2149)
O (0.2571, 0.4720, 0.5000)
O (0.4720, 0.9720, 0.2149)
O (0.5000, 0.5000, 0.0000)
O (0.5280, 0.0280, 0.7851)
O (0.7429, 0.5280, 0.5000)
O (0.7571, 0.2571, 0.7851)
O (0.9720, 0.7571, 0.5000)

Calculated values
calculated volume	16.26	A^3/atom
DFT total energy	-6.240	eV/atom

=====

(3)
The following is a DFT calculation (PBE) of a relaxed structure of PmCdRe2O8.

Unit cell a=6.8863 b=6.8863 c=6.8863 alpha=134.61 beta=134.61 gamma=66.14
Element x y z (fractional)
Pm (0.0000, 0.0000, 0.0000)
Cd (0.2500, 0.7500, 0.5000)
Re (0.5000, 0.5000, 0.0000)
Re (0.7500, 0.2500, 0.5000)
O (0.2526, 0.6697, 0.0805)
O (0.3303, 0.4107, 0.5829)
O (0.4205, 0.0076, 0.0883)
O (0.5893, 0.1721, 0.9195)
O (0.6678, 0.5795, 0.5870)
O (0.8279, 0.7474, 0.4171)
O (0.9193, 0.3322, 0.9117)
O (0.9924, 0.0807, 0.4130)

Calculated values
calculated volume	13.58	A^3/atom
DFT total energy	-7.623	eV/atom

=====

(4)
The following is a DFT calculation (PBE) of a relaxed structure of Pm2CdReO8.

Unit cell a=4.9232 b=4.9625 c=7.3487 alpha=91.38 beta=90.98 gamma=93.08
Element x y z (fractional)
Pm (0.0406, 0.0331, 0.2484)
Pm (0.9594, 0.9669, 0.7516)
Cd (0.5000, 0.5000, 0.0000)
Re (0.5000, 0.5000, 0.5000)
O (0.1997, 0.1966, 0.9809)
O (0.2209, 0.2267, 0.5320)
O (0.2895, 0.6472, 0.3112)
O (0.3469, 0.7176, 0.6825)
O (0.6531, 0.2824, 0.3175)
O (0.7105, 0.3528, 0.6888)
O (0.7791, 0.7733, 0.4680)
O (0.8003, 0.8034, 0.0191)

Calculated values
calculated volume	14.93	A^3/atom
DFT total energy	-7.294	eV/atom

=====

(5)
The following is a DFT calculation (PBE) of a relaxed structure of PmCdReO6.

Unit cell a=5.6195 b=5.6195 c=4.7044 alpha=90.00 beta=90.00 gamma=120.00
Element x y z (fractional)
Pm (0.0000, 0.0000, 0.0000)
Cd (0.6667, 0.3333, 0.5000)
Re (0.3333, 0.6667, 0.0000)
O (0.0502, 0.3883, 0.2278)
O (0.0502, 0.6619, 0.7722)
O (0.3381, 0.3883, 0.7722)
O (0.3381, 0.9498, 0.2278)
O (0.6117, 0.6619, 0.2278)
O (0.6117, 0.9498, 0.7722)

Calculated values
calculated volume	14.30	A^3/atom
DFT total energy	-7.222	eV/atom

=====

(6)
The following is a DFT calculation (PBE) of a relaxed structure of Pm2CdRhO5.

Unit cell a=6.7312 b=6.7312 c=5.7729 alpha=90.00 beta=90.00 gamma=90.00
Element x y z (fractional)
Pm (0.1732, 0.3268, 0.0000)
Pm (0.3268, 0.8268, 0.0000)
Pm (0.6732, 0.1732, 0.0000)
Pm (0.8268, 0.6732, 0.0000)
Cd (0.0000, 0.0000, 0.5000)
Cd (0.5000, 0.5000, 0.5000)
Rh (0.0000, 0.5000, 0.5000)
Rh (0.5000, 0.0000, 0.5000)
O (0.0000, 0.0000, 0.0000)
O (0.1410, 0.6410, 0.2474)
O (0.1410, 0.6410, 0.7526)
O (0.3590, 0.1410, 0.2474)
O (0.3590, 0.1410, 0.7526)
O (0.5000, 0.5000, 0.0000)
O (0.6410, 0.8590, 0.2474)
O (0.6410, 0.8590, 0.7526)
O (0.8590, 0.3590, 0.2474)
O (0.8590, 0.3590, 0.7526)

Calculated values
calculated volume	14.53	A^3/atom
DFT total energy	-6.716	eV/atom

=====

- The lowest DFT total energy belongs to which entry?
  PmCdRe2O8

=====

- Which of these has the lowest calculated volume?
  PmCdRe2O8

=====

- calculated volume of number 5 (PmCdReO6)?
  14.30 A^3/atom

=====

- Which of these has the highest calculated volume?
  Rb3Pm2CdO6